Computed, not measured: an optimized crystal structure of TbSc2Br at the PBE level of DFT.

- Density: 5.4 g cm⁻³
- Symmetry: No. 166
- E_form (uncorrected): -0.433 eV/atom
- DOS at the Fermi energy: 4.7 states/eV/f.u.

Lattice parameters (Å, degrees): 3.4867 3.4867 9.8323 79.79 79.79 60.00
Positions (direct):
Sc 0.7416 0.7416 0.7752
Sc 0.2584 0.2584 0.2248
Tb 0.5000 0.5000 0.5000
Br 0.0000 0.0000 0.0000